Al6VRe, relaxed, DFT PBE-GGA; ΔE_f = 0.2275 eV per atom
1.0
3.007 -4.765 0.000
3.007 4.765 0.000
-2.823 0.000 4.775
Al V Re
6 1 1
Cartesian
0.728 2.136 1.217 Al
-0.633 0.000 3.600 Al
0.728 -2.136 1.217 Al
2.463 2.136 3.558 Al
3.824 0.000 1.175 Al
2.463 -2.136 3.558 Al
1.596 0.000 2.388 V
0.000 0.000 0.000 Re

AlV3Re, relaxed, DFT PBE-GGA; offset from the most stable computed form = 1472 meV/atom; ΔE_f = 1.4680 eV per atom
1.0
4.332 0.000 0.000
0.000 4.332 0.000
0.000 0.000 4.332
Al V Re
1 3 1
Cartesian
0.000 0.000 0.000 Al
0.000 0.000 2.166 V
0.000 2.166 0.000 V
2.166 0.000 0.000 V
2.166 2.166 2.166 Re

AlVRe, relaxed, DFT PBE-GGA; offset from the most stable computed form = 130 meV/atom; ΔE_f = -0.1853 eV per atom
1.0
2.690 0.000 0.000
0.740 5.029 0.000
0.682 1.441 6.414
Al V Re
2 2 2
Cartesian
0.220 0.754 1.070 Al
3.891 5.716 5.345 Al
2.067 3.216 5.303 V
2.044 3.254 1.112 V
1.289 1.972 3.189 Re
2.822 4.498 3.225 Re

AlVRe, relaxed, DFT PBE-GGA; offset from the most stable computed form = 62 meV/atom; ΔE_f = -0.2541 eV per atom
1.0
1.540 -6.370 0.000
1.540 6.370 0.000
0.000 0.000 4.354
Al V Re
2 2 2
Cartesian
1.540 3.200 3.265 Al
1.540 -3.200 1.088 Al
1.540 1.022 1.088 V
1.540 -1.022 3.265 V
1.540 5.299 1.088 Re
1.540 -5.299 3.265 Re

Al2VRe, relaxed, DFT PBE-GGA; offset from the most stable computed form = 0 meV/atom; ΔE_f = -0.0794 eV per atom
1.0
0.000 3.071 3.071
3.071 0.000 3.071
3.071 3.071 0.000
Al V Re
2 1 1
Cartesian
1.536 1.536 1.536 Al
4.607 4.607 4.607 Al
0.000 0.000 0.000 V
3.071 3.071 3.071 Re

AlVRe3, relaxed, DFT PBE-GGA; offset from the most stable computed form = 0 meV/atom; ΔE_f = 1.5679 eV per atom
1.0
4.486 0.000 0.000
0.000 4.486 0.000
0.000 0.000 4.486
Al V Re
1 1 3
Cartesian
0.000 0.000 0.000 Al
2.243 2.243 2.243 V
0.000 2.243 2.243 Re
2.243 0.000 2.243 Re
2.243 2.243 0.000 Re

AlV6Re5, relaxed, DFT PBE-GGA; ΔE_f = -0.3343 eV per atom
1.0
-2.146 3.055 6.431
2.146 -3.055 6.431
2.146 3.055 -6.431
Al V Re
1 6 5
Cartesian
0.000 0.000 0.000 Al
2.146 -1.508 4.261 V
2.146 1.569 0.000 V
0.000 1.547 2.171 V
2.146 1.508 4.261 V
0.000 1.486 6.431 V
0.000 4.563 2.171 V
2.146 0.000 2.097 Re
0.000 0.000 4.274 Re
0.000 3.055 0.000 Re
0.000 0.000 8.589 Re
0.000 3.055 4.335 Re

AlV5Re6, relaxed, DFT PBE-GGA; ΔE_f = -0.3144 eV per atom
1.0
-2.151 3.046 6.450
2.151 -3.046 6.450
2.151 3.046 -6.450
Al V Re
1 5 6
Cartesian
0.000 0.000 0.000 Al
2.151 0.000 2.098 V
0.000 0.000 4.291 V
0.000 3.046 0.000 V
0.000 0.000 8.610 V
0.000 3.046 4.352 V
2.151 -1.509 4.268 Re
2.151 1.563 0.000 Re
0.000 1.537 2.182 Re
2.151 1.509 4.268 Re
0.000 1.483 6.450 Re
0.000 4.556 2.182 Re

AlV4Re5, relaxed, DFT PBE-GGA; ΔE_f = -0.3107 eV per atom
1.0
3.045 0.000 0.000
0.000 3.045 0.000
0.000 0.000 15.225
Al V Re
1 4 5
Cartesian
0.000 0.000 0.000 Al
0.000 0.000 3.020 V
0.000 0.000 6.078 V
0.000 0.000 9.146 V
0.000 0.000 12.205 V
1.522 1.522 1.597 Re
1.522 1.522 4.593 Re
1.522 1.522 7.612 Re
1.522 1.522 10.632 Re
1.522 1.522 13.628 Re

AlVRe, relaxed, DFT PBE-GGA; offset from the most stable computed form = 3 meV/atom; ΔE_f = -0.3129 eV per atom
1.0
4.278 0.000 0.000
-2.139 3.705 0.000
0.000 0.000 5.349
Al V Re
2 2 2
Cartesian
0.000 2.470 2.186 Al
2.139 1.235 3.162 Al
0.000 2.470 4.859 V
2.139 1.235 0.490 V
0.000 0.000 1.349 Re
0.000 0.000 4.000 Re

AlVRe, relaxed, DFT PBE-GGA; offset from the most stable computed form = 19 meV/atom; ΔE_f = -0.2969 eV per atom
1.0
4.294 0.000 0.000
-2.147 3.719 0.000
0.000 0.000 2.672
Al V Re
1 1 1
Cartesian
0.000 0.000 0.000 Al
2.147 1.240 1.685 V
0.000 2.479 1.007 Re

AlVRe3, relaxed, DFT PBE-GGA; offset from the most stable computed form = 125 meV/atom; ΔE_f = 1.6928 eV per atom
1.0
4.406 0.000 0.000
0.000 4.406 0.000
0.000 0.000 4.406
Al V Re
1 1 3
Cartesian
0.000 0.000 0.000 Al
2.203 2.203 2.203 V
0.000 0.000 2.203 Re
0.000 2.203 0.000 Re
2.203 0.000 0.000 Re

AlV3Re4, relaxed, DFT PBE-GGA; ΔE_f = -0.2908 eV per atom
1.0
3.049 0.000 0.000
0.000 4.307 0.000
0.000 0.000 8.598
Al V Re
1 3 4
Cartesian
0.000 0.000 0.000 Al
0.000 0.000 4.299 V
0.000 2.154 2.110 V
0.000 2.154 6.488 V
1.524 0.000 2.210 Re
1.524 0.000 6.388 Re
1.524 2.154 0.000 Re
1.524 2.154 4.299 Re

AlV6Re, relaxed, DFT PBE-GGA; offset from the most stable computed form = 168 meV/atom; ΔE_f = -0.0260 eV per atom
1.0
2.570 -4.866 0.000
2.570 4.866 0.000
-1.184 0.000 4.482
Al V Re
1 6 1
Cartesian
0.000 0.000 0.000 Al
1.294 2.423 0.023 V
0.726 1.209 2.256 V
1.978 3.571 2.241 V
2.570 0.028 0.000 V
2.663 2.423 4.459 V
3.230 1.209 2.226 V
1.978 -1.247 2.241 Re

Al2V2Re, relaxed, DFT PBE-GGA; ΔE_f = -0.0429 eV per atom
1.0
6.676 0.000 0.000
0.000 6.676 0.000
0.000 0.000 3.199
Al V Re
4 4 2
Cartesian
0.876 2.462 0.000 Al
2.462 5.800 0.000 Al
4.214 0.876 0.000 Al
5.800 4.214 0.000 Al
1.135 4.473 1.600 V
2.203 1.135 1.600 V
4.473 5.541 1.600 V
5.541 2.203 1.600 V
0.000 0.000 0.000 Re
3.338 3.338 0.000 Re

AlVRe, relaxed, DFT PBE-GGA; offset from the most stable computed form = 0 meV/atom; ΔE_f = -0.3157 eV per atom
1.0
-1.571 1.571 4.354
1.571 -1.571 4.354
1.571 1.571 -4.354
Al V Re
1 1 1
Cartesian
0.000 0.000 0.000 Al
0.000 0.000 5.909 V
0.000 0.000 2.816 Re

AlV6Re, relaxed, DFT PBE-GGA; offset from the most stable computed form = 0 meV/atom; ΔE_f = -0.1944 eV per atom
1.0
4.239 0.000 0.000
0.000 3.029 4.280
0.000 -3.029 4.280
Al V Re
1 6 1
Cartesian
0.000 0.000 0.000 Al
0.000 0.000 4.282 V
0.000 -1.501 6.421 V
0.000 1.501 6.421 V
2.120 -1.423 4.277 V
2.120 1.423 4.277 V
2.120 0.000 6.469 V
2.120 0.000 2.071 Re

AlV3Re, relaxed, DFT PBE-GGA; offset from the most stable computed form = 1095 meV/atom; ΔE_f = 1.0912 eV per atom
1.0
4.574 0.000 0.000
0.000 4.574 0.000
0.000 0.000 4.574
Al V Re
1 3 1
Cartesian
0.000 0.000 0.000 Al
0.000 2.287 2.287 V
2.287 0.000 2.287 V
2.287 2.287 0.000 V
2.287 2.287 2.287 Re

AlV4Re2, relaxed, DFT PBE-GGA; ΔE_f = 1.0865 eV per atom
1.0
-2.180 2.180 6.184
2.180 -2.180 6.184
2.180 2.180 -6.184
Al V Re
1 4 2
Cartesian
0.000 0.000 0.000 Al
2.180 0.000 0.000 V
0.000 0.000 2.422 V
0.000 2.180 0.000 V
0.000 0.000 9.946 V
0.000 0.000 4.720 Re
0.000 0.000 7.647 Re

Al2VRe, relaxed, DFT PBE-GGA; offset from the most stable computed form = 516 meV/atom; ΔE_f = 0.4361 eV per atom
1.0
-3.432 3.432 2.652
3.432 -3.432 2.652
3.432 3.432 -2.652
Al V Re
4 2 2
Cartesian
5.148 1.710 -0.663 Al
1.710 1.716 0.663 Al
-1.716 1.722 1.989 Al
1.722 1.716 3.315 Al
3.432 0.000 1.326 V
0.000 0.000 2.652 V
0.000 0.000 0.000 Re
0.000 3.432 1.326 Re

AlV2Re2W2, relaxed, DFT PBE-GGA; ΔE_f = -0.2159 eV per atom
1.0
4.891 -1.542 0.000
4.891 1.542 0.000
-0.807 0.000 6.830
Al V Re W
1 2 2 2
Cartesian
0.000 0.000 0.000 Al
1.035 0.000 2.924 V
7.941 0.000 3.906 V
3.963 0.000 2.019 Re
5.013 0.000 4.811 Re
2.040 0.000 5.807 W
6.936 0.000 1.024 W

AlReW2, relaxed, DFT PBE-GGA; ΔE_f = 0.8571 eV per atom
1.0
-3.676 3.676 2.629
3.676 -3.676 2.629
3.676 3.676 -2.629
Al Re W
2 2 4
Cartesian
0.000 0.000 0.000 Al
0.000 3.676 1.315 Al
3.676 0.000 1.315 Re
0.000 0.000 2.629 Re
1.838 -1.572 1.972 W
2.104 1.838 0.657 W
1.838 5.248 -0.657 W
1.572 1.838 3.286 W

AlReW2, relaxed, DFT PBE-GGA; ΔE_f = 0.0478 eV per atom
1.0
2.684 -4.418 0.000
2.684 4.418 0.000
-0.836 0.000 2.604
Al Re W
1 1 2
Cartesian
0.000 0.000 0.000 Al
2.684 0.000 0.000 Re
0.924 2.209 1.302 W
0.924 -2.209 1.302 W

AlReW2, relaxed, DFT PBE-GGA; ΔE_f = 0.0232 eV per atom
1.0
0.000 3.134 3.134
3.134 0.000 3.134
3.134 3.134 0.000
Al Re W
1 1 2
Cartesian
0.000 0.000 0.000 Al
4.701 4.701 4.701 Re
1.567 1.567 1.567 W
3.134 3.134 3.134 W

AlReW2, relaxed, DFT PBE-GGA; ΔE_f = -0.0802 eV per atom
1.0
-1.574 2.184 4.458
1.574 -2.184 4.458
1.574 2.184 -4.458
Al Re W
1 1 2
Cartesian
0.000 0.000 0.000 Al
0.000 0.000 4.458 Re
1.574 0.000 2.289 W
0.000 2.184 2.169 W

AlReW2, relaxed, DFT PBE-GGA; ΔE_f = 0.0422 eV per atom
1.0
3.221 0.000 0.000
0.000 3.221 0.000
0.000 0.000 5.936
Al Re W
1 1 2
Cartesian
0.000 0.000 0.000 Al
1.610 1.610 1.403 Re
0.000 0.000 2.947 W
1.610 1.610 4.448 W

AlReW2, relaxed, DFT PBE-GGA; ΔE_f = 0.0006 eV per atom
1.0
2.730 0.000 0.000
0.000 4.407 0.000
-1.011 0.000 5.142
Al Re W
1 1 2
Cartesian
0.000 0.000 0.000 Al
1.824 2.203 1.261 Re
0.102 2.203 3.908 W
0.959 0.000 2.551 W